Record 1
The following is a PBE calculation of a relaxed structure of Y2Ho5Tm6, from Alexandria.

a = 3.5326 Å, b = 11.5488 Å, c = 19.9630 Å
α = 90.00°, β = 90.00°, γ = 90.00°
Fractional positions:
Tm 0.5000 0.1740 0.6324
Tm 0.5000 0.3260 0.1324
Tm 0.0000 0.5821 0.1322
Tm 0.0000 0.0821 0.3678
Tm 0.0000 0.4413 0.5804
Tm 0.0000 0.9179 0.6322
Tm 0.0000 0.5587 0.4196
Tm 0.0000 0.9413 0.9196
Tm 0.0000 0.4179 0.8678
Tm 0.5000 0.8260 0.3676
Tm 0.0000 0.0587 0.0804
Tm 0.5000 0.6740 0.8676
Y 0.0000 0.8349 0.2111
Y 0.0000 0.1651 0.7889
Y 0.0000 0.3349 0.2889
Y 0.0000 0.6651 0.7111
Ho 0.5000 0.5000 0.0000
Ho 0.5000 0.4069 0.7254
Ho 0.5000 0.5931 0.2746
Ho 0.5000 0.0931 0.2254
Ho 0.5000 0.3009 0.4502
Ho 0.5000 0.0000 0.5000
Ho 0.5000 0.6991 0.5498
Ho 0.5000 0.1991 0.9502
Ho 0.5000 0.9069 0.7746
Ho 0.5000 0.8009 0.0498

Output
calculated formation energy = 101 meV/atom
spin magnetization = 0.0 μB/cell
symmetry = Pbam, No. 55

***

Record 2
The following is a PBE calculation of a relaxed structure of YHo3Tm, from Alexandria.

a = 9.3286 Å, b = 6.1085 Å, c = 6.1078 Å
α = 109.40°, β = 109.20°, γ = 83.74°
Fractional positions:
Ho 0.4995 0.4499 0.2497
Ho 0.5005 0.9501 0.7503
Ho 0.0996 0.9500 0.5499
Ho 0.7015 0.4500 0.8507
Ho 0.2986 0.9500 0.1494
Ho 0.9003 0.4500 0.4501
Y 0.2999 0.4501 0.6499
Y 0.7002 0.9499 0.3501
Tm 0.0987 0.4500 0.0493
Tm 0.9013 0.9500 0.9507

Output
calculated formation energy = 24 meV/atom
spin magnetization = 0.0 μB/cell
symmetry = P-1, No. 2

***

Record 3
The following is a PBE calculation of a relaxed structure of Y3Ho6Tm2, from Alexandria.

a = 3.5334 Å, b = 3.5334 Å, c = 31.6961 Å
α = 86.80°, β = 86.80°, γ = 60.00°
Fractional positions:
Ho 0.6361 0.6361 0.0916
Ho 0.0917 0.0917 0.7249
Ho 0.9083 0.9083 0.2751
Ho 0.3639 0.3639 0.9084
Ho 0.8182 0.8182 0.5453
Ho 0.1818 0.1818 0.4547
Y 0.0000 0.0000 0.0000
Y 0.2722 0.2722 0.1833
Y 0.7278 0.7278 0.8167
Tm 0.5450 0.5450 0.3649
Tm 0.4550 0.4550 0.6351

Output
calculated formation energy = 25 meV/atom
spin magnetization = 0.0 μB/cell
symmetry = R-3m, No. 166

***

Record 4
The following is a PBE calculation of a relaxed structure of Y15HoTm4, from Alexandria.

a = 5.0219 Å, b = 5.0219 Å, c = 25.1266 Å
α = 90.00°, β = 90.00°, γ = 90.00°
Fractional positions:
Y 0.0000 0.5000 0.5000
Y 0.5000 0.5000 0.6000
Y 0.5000 0.5000 0.4000
Y 0.5000 0.0000 0.3001
Y 0.5000 0.5000 0.0000
Y 0.5000 0.0000 0.6999
Y 0.0000 0.5000 0.6999
Y 0.0000 0.5000 0.1004
Y 0.5000 0.5000 0.7997
Y 0.5000 0.0000 0.5000
Y 0.0000 0.5000 0.3001
Y 0.0000 0.5000 0.8996
Y 0.5000 0.0000 0.1004
Y 0.5000 0.5000 0.2003
Y 0.5000 0.0000 0.8996
Ho 0.0000 0.0000 0.0000
Tm 0.0000 0.0000 0.2002
Tm 0.0000 0.0000 0.7998
Tm 0.0000 0.0000 0.6000
Tm 0.0000 0.0000 0.4000

Output
calculated formation energy = 27 meV/atom
spin magnetization = 0.0 μB/cell
symmetry = P4/mmm, No. 123

***

Record 5
The following is a PBE calculation of a relaxed structure of Y4HoTm, from Alexandria.

a = 9.6786 Å, b = 5.6113 Å, c = 8.9612 Å
α = 128.74°, β = 90.00°, γ = 90.00°
Fractional positions:
Y 0.6766 0.7511 0.7511
Y 0.3427 0.7508 0.7509
Y 0.1573 0.2508 0.7509
Y 0.6573 0.2492 0.2491
Y 0.3234 0.2489 0.2489
Y 0.8427 0.7492 0.2491
Y 0.1766 0.7489 0.2489
Y 0.8234 0.2511 0.7511
Ho 0.0000 0.5000 0.5000
Ho 0.5000 0.0000 0.5000
Tm 0.0000 0.0000 0.0000
Tm 0.5000 0.5000 0.0000

Output
calculated formation energy = 71 meV/atom
spin magnetization = 0.0 μB/cell
symmetry = Pmna, No. 53

***

Record 6
The following is a PBE calculation of a relaxed structure of Y4Ho2Tm, from Alexandria.

a = 3.5442 Å, b = 9.3818 Å, c = 8.5329 Å
α = 121.88°, β = 77.99°, γ = 112.19°
Fractional positions:
Y 0.8060 0.1654 0.7200
Y 0.4101 0.7068 0.5930
Y 0.5899 0.2932 0.4070
Y 0.1940 0.8346 0.2799
Ho 0.3603 0.4302 0.1402
Ho 0.6397 0.5698 0.8598
Tm 0.0000 0.0000 0.0000

Output
calculated formation energy = 36 meV/atom
spin magnetization = 0.0 μB/cell
symmetry = C2/m, No. 12

***

Record 7
The following is a PBE calculation of a relaxed structure of Y4HoTm15, from Alexandria.

a = 4.9549 Å, b = 4.9549 Å, c = 24.8079 Å
α = 90.00°, β = 90.00°, γ = 90.00°
Fractional positions:
Tm 0.5000 0.0000 0.0993
Tm 0.5000 0.5000 0.1996
Tm 0.5000 0.0000 0.5000
Tm 0.5000 0.5000 0.6000
Tm 0.5000 0.0000 0.9007
Tm 0.5000 0.5000 0.0000
Tm 0.0000 0.5000 0.2998
Tm 0.5000 0.0000 0.7002
Tm 0.0000 0.5000 0.7002
Tm 0.5000 0.0000 0.2998
Tm 0.0000 0.5000 0.9007
Tm 0.0000 0.5000 0.0993
Tm 0.5000 0.5000 0.4000
Tm 0.0000 0.5000 0.5000
Tm 0.5000 0.5000 0.8004
Y 0.0000 0.0000 0.1997
Y 0.0000 0.0000 0.4000
Y 0.0000 0.0000 0.6000
Y 0.0000 0.0000 0.8003
Ho 0.0000 0.0000 0.0000

Output
calculated formation energy = 29 meV/atom
spin magnetization = 0.0 μB/cell
symmetry = P4/mmm, No. 123

***

Record 8
The following is a PBE calculation of a relaxed structure of Y3Ho2Tm6, from Alexandria.

a = 5.9738 Å, b = 8.2641 Å, c = 15.2748 Å
α = 45.93°, β = 72.91°, γ = 108.14°
Fractional positions:
Ho 0.5464 0.7424 0.8092
Ho 0.4536 0.2576 0.1908
Y 0.0000 0.0000 0.0000
Y 0.2547 0.0948 0.7232
Y 0.7453 0.9052 0.2768
Tm 0.0609 0.5475 0.3574
Tm 0.9391 0.4525 0.6426
Tm 0.1967 0.6146 0.0945
Tm 0.6515 0.8297 0.5417
Tm 0.3485 0.1703 0.4583
Tm 0.8033 0.3854 0.9055

Output
calculated formation energy = 89 meV/atom
spin magnetization = 0.0 μB/cell
symmetry = P-1, No. 2

***

Record 9
The following is a PBE calculation of a relaxed structure of Y2Ho2Tm5, from Alexandria.

a = 11.5906 Å, b = 6.6570 Å, c = 9.9615 Å
α = 109.52°, β = 125.58°, γ = 90.00°
Fractional positions:
Ho 0.7344 0.8614 0.5000
Ho 0.0000 0.0025 0.0000
Ho 0.5000 0.5025 0.0000
Ho 0.2656 0.3614 0.5000
Tm 0.9902 0.6517 0.5000
Tm 0.0098 0.1517 0.5000
Tm 0.1865 0.1578 0.8936
Tm 0.5964 0.2491 0.7152
Tm 0.7929 0.7641 0.1064
Tm 0.6188 0.7491 0.7152
Tm 0.3812 0.0339 0.2848
Tm 0.2071 0.6578 0.8936
Tm 0.8135 0.2641 0.1064
Tm 0.4036 0.5339 0.2848
Y 0.8813 0.4306 0.7458
Y 0.3645 0.9306 0.7458
Y 0.6355 0.1848 0.2542
Y 0.1187 0.6848 0.2542

Output
calculated formation energy = 222 meV/atom
spin magnetization = 0.0 μB/cell
symmetry = Ima2, No. 46

***

Record 10
The following is a PBE calculation of a relaxed structure of Y5Ho3Tm, from Alexandria.

a = 9.8405 Å, b = 7.7072 Å, c = 11.5838 Å
α = 111.90°, β = 90.00°, γ = 129.67°
Fractional positions:
Ho 0.3346 0.6676 0.1670
Ho 0.0000 0.0000 0.0000
Ho 0.6654 0.3324 0.8330
Ho 0.0000 0.0000 0.5000
Ho 0.6671 0.3324 0.3330
Ho 0.3329 0.6676 0.6670
Y 0.8171 0.0000 0.2500
Y 0.5231 0.6709 0.9181
Y 0.5190 0.6617 0.4151
Y 0.4810 0.3383 0.5849
Y 0.1478 0.6709 0.4181
Y 0.8522 0.3291 0.5819
Y 0.4769 0.3291 0.0819
Y 0.1829 0.0000 0.7500
Y 0.8573 0.3383 0.0849
Y 0.1427 0.6617 0.9151
Tm 0.8077 0.0000 0.7500
Tm 0.1923 0.0000 0.2500

Output
calculated formation energy = 199 meV/atom
spin magnetization = 0.0 μB/cell
symmetry = C2/c, No. 15

***

Record 11
The following is a PBE calculation of a relaxed structure of Y4Ho8Tm3, from Alexandria.

a = 6.8751 Å, b = 6.8751 Å, c = 12.3479 Å
α = 73.84°, β = 73.84°, γ = 60.00°
Fractional positions:
Ho 0.7502 0.7502 0.2526
Ho 0.2440 0.2440 0.2679
Ho 0.7560 0.7560 0.7321
Ho 0.2498 0.2498 0.7474
Ho 0.7502 0.2469 0.2526
Ho 0.7531 0.2498 0.7474
Ho 0.2498 0.7531 0.7474
Ho 0.2469 0.7502 0.2526
Y 0.6639 0.6639 0.0082
Y 0.5000 0.5000 0.5000
Y 0.0000 0.0000 0.0000
Y 0.3361 0.3361 0.9918
Tm 0.0000 0.0000 0.5000
Tm 0.5000 0.0000 0.5000
Tm 0.0000 0.5000 0.5000

Output
calculated formation energy = 135 meV/atom
spin magnetization = 0.1 μB/cell
symmetry = R-3m, No. 166

***

Record 12
The following is a PBE calculation of a relaxed structure of Y3Ho3Tm2, from Alexandria.

a = 6.4165 Å, b = 6.4165 Å, c = 6.4165 Å
α = 93.28°, β = 93.28°, γ = 86.72°
Last column: magnetic moment on the atom in μB.
Fractional positions:
Y 0.5000 0.2645 0.2645  0.42
Y 0.2645 0.7355 0.5000  0.42
Y 0.7355 0.5000 0.7355  0.42
Ho 0.7665 0.0000 0.7665  0.58
Ho 0.0000 0.2335 0.2335  0.58
Ho 0.2335 0.7665 0.0000  0.58
Tm 0.2494 0.2494 0.7506  0.71
Tm 0.7506 0.7506 0.2494  0.71

Output
calculated formation energy = 237 meV/atom
spin magnetization = 6.8 μB/cell
symmetry = R32, No. 155

***

Record 13
The following is a PBE calculation of a relaxed structure of Y3HoTm2, from Alexandria.

a = 6.1209 Å, b = 7.0732 Å, c = 9.3605 Å
α = 112.24°, β = 90.01°, γ = 90.00°
Fractional positions:
Ho 0.2500 0.8748 0.0000
Ho 0.7500 0.1252 0.0000
Y 0.0832 0.2921 0.3340
Y 0.9168 0.7079 0.6660
Y 0.4168 0.9581 0.6660
Y 0.5832 0.0419 0.3340
Y 0.2500 0.3751 0.0000
Y 0.7500 0.6249 0.0000
Tm 0.0829 0.7917 0.3337
Tm 0.9171 0.2083 0.6663
Tm 0.4170 0.4580 0.6663
Tm 0.5830 0.5420 0.3337

Output
calculated formation energy = 29 meV/atom
spin magnetization = 0.0 μB/cell
symmetry = C2/c, No. 15

***

Record 14
The following is a PBE calculation of a relaxed structure of YHo3Tm6, from Alexandria.

a = 6.1184 Å, b = 10.8351 Å, c = 10.8351 Å
α = 119.76°, β = 90.00°, γ = 90.00°
Fractional positions:
Tm 0.5317 0.6174 0.7125
Tm 0.5317 0.2875 0.3826
Tm 0.6429 0.2843 0.7157
Tm 0.8602 0.9602 0.5385
Tm 0.3602 0.0398 0.4615
Tm 0.3602 0.5385 0.9602
Tm 0.9174 0.0466 0.9534
Tm 0.8602 0.4615 0.0398
Tm 0.0317 0.7125 0.6174
Tm 0.4174 0.9534 0.0466
Tm 0.1429 0.7157 0.2843
Tm 0.0317 0.3826 0.2875
Y 0.1501 0.2070 0.7930
Y 0.6501 0.7930 0.2070
Ho 0.4604 0.9365 0.7197
Ho 0.9604 0.0635 0.2803
Ho 0.0704 0.3915 0.6085
Ho 0.4604 0.2803 0.0635
Ho 0.5704 0.6085 0.3915
Ho 0.9604 0.7197 0.9365

Output
calculated formation energy = 157 meV/atom
spin magnetization = 0.0 μB/cell
symmetry = Cmc2_1, No. 36

***

Record 15
The following is a PBE calculation of a relaxed structure of Y5Ho12Tm2, from Alexandria.

a = 6.4679 Å, b = 8.8494 Å, c = 11.8078 Å
α = 115.30°, β = 98.98°, γ = 81.76°
Fractional positions:
Y 0.0000 0.0000 0.5000
Y 0.1972 0.7086 0.1962
Y 0.5141 0.3260 0.2192
Y 0.4859 0.6740 0.7808
Y 0.8028 0.2914 0.8038
Ho 0.3326 0.2920 0.9218
Ho 0.0313 0.6303 0.8693
Ho 0.7789 0.4423 0.5408
Ho 0.0496 0.8877 0.7316
Ho 0.2211 0.5577 0.4592
Ho 0.7011 0.6888 0.3610
Ho 0.9687 0.3697 0.1307
Ho 0.5219 0.9386 0.6383
Ho 0.9504 0.1123 0.2684
Ho 0.2989 0.3112 0.6390
Ho 0.6674 0.7080 0.0782
Ho 0.4781 0.0614 0.3617
Tm 0.2640 0.9844 0.0383
Tm 0.7360 0.0156 0.9617

Output
calculated formation energy = 92 meV/atom
spin magnetization = 0.0 μB/cell
symmetry = P-1, No. 2

***

Record 16
The following is a PBE calculation of a relaxed structure of Y6Ho3Tm, from Alexandria.

a = 6.2286 Å, b = 10.9271 Å, c = 10.9271 Å
α = 119.87°, β = 90.00°, γ = 90.00°
Fractional positions:
Tm 0.1486 0.2062 0.7938
Tm 0.6486 0.7938 0.2062
Y 0.5386 0.2902 0.3811
Y 0.5386 0.6189 0.7098
Y 0.1531 0.7202 0.2798
Y 0.6531 0.2798 0.7202
Y 0.3571 0.0468 0.4647
Y 0.8571 0.9532 0.5353
Y 0.4118 0.9522 0.0478
Y 0.9118 0.0478 0.9522
Y 0.0386 0.3811 0.2902
Y 0.0386 0.7098 0.6189
Y 0.8571 0.4647 0.0468
Y 0.3571 0.5353 0.9532
Ho 0.4544 0.9396 0.7203
Ho 0.4544 0.2797 0.0604
Ho 0.5717 0.6105 0.3896
Ho 0.9544 0.7203 0.9396
Ho 0.9544 0.0604 0.2797
Ho 0.0717 0.3896 0.6105

Output
calculated formation energy = 145 meV/atom
spin magnetization = 0.0 μB/cell
symmetry = Cmc2_1, No. 36

***

Record 17
The following is a PBE calculation of a relaxed structure of Y2Ho2Tm3, from Alexandria.

a = 3.5143 Å, b = 8.6338 Å, c = 7.8889 Å
α = 111.47°, β = 102.87°, γ = 90.00°
Fractional positions:
Y 0.4281 0.2851 0.8562
Y 0.5719 0.7149 0.1438
Ho 0.8560 0.5728 0.7120
Ho 0.1440 0.4272 0.2880
Tm 0.0000 0.0000 0.0000
Tm 0.7133 0.1414 0.4266
Tm 0.2867 0.8586 0.5734

Output
calculated formation energy = 26 meV/atom
spin magnetization = 0.0 μB/cell
symmetry = C2/m, No. 12

***

Record 18
The following is a PBE calculation of a relaxed structure of Y3Ho8Tm2, from Alexandria.

a = 5.5866 Å, b = 7.5938 Å, c = 10.7089 Å
α = 110.77°, β = 90.03°, γ = 90.00°
Fractional positions:
Ho 0.0011 0.6690 0.3379
Ho 0.5004 0.8207 0.2192
Ho 0.4996 0.1793 0.7808
Ho 0.4996 0.6016 0.7808
Ho 0.0003 0.8656 0.7312
Ho 0.9989 0.3310 0.6621
Ho 0.5004 0.3984 0.2192
Ho 0.9997 0.1344 0.2688
Tm 0.4988 0.2415 0.4831
Tm 0.5012 0.7585 0.5169
Y 0.5000 0.0000 0.0000
Y 0.0000 0.7155 0.0000
Y 0.0000 0.2845 0.0000

Output
calculated formation energy = 239 meV/atom
spin magnetization = 0.0 μB/cell
symmetry = C2/m, No. 12